The following is a DFT calculation (PBE) of a geometry-optimized PrTlIn structure.

```
PrTlIn
1.0
2.734 -4.460 0.067
-0.951 -3.597 3.679
-2.319 -4.510 -1.288
In Pr Tl
1 1 1
direct
0.250 0.250 0.250 In
0.000 0.000 0.000 Pr
0.750 0.750 0.750 Tl
```

Values from the calculation:
**Polymorph energy (0 for the lowest one)**: 146 meV/atom
**Symmetry**: F-43m (216)

The following is a DFT calculation (PBE) of a geometry-optimized Pr2TlZn2In structure.

```
Pr2TlZn2In
1.0
-0.406 -3.696 -2.984
1.375 -0.717 4.508
-7.386 -0.893 2.110
In Pr Tl Zn
1 2 1 2
direct
0.333 0.667 0.468 In
0.000 0.000 0.243 Pr
0.000 0.000 0.742 Pr
0.667 0.333 0.965 Tl
0.333 0.667 0.045 Zn
0.667 0.333 0.537 Zn
```

Values from the calculation:
**Symmetry**: P3m1 (156)

The following is a DFT calculation (PBE) of a geometry-optimized PrTmIn2 structure.

```
PrTmIn2
1.0
-2.015 -3.166 -0.591
3.029 -2.100 0.921
-2.196 0.034 7.300
In Pr Tm
2 1 1
direct
0.000 0.000 0.231 In
0.000 0.000 0.769 In
0.500 0.500 0.500 Pr
0.500 0.500 0.000 Tm
```

Values from the calculation:
**Symmetry**: P4/mmm (123)

The following is a DFT calculation (PBE) of a geometry-optimized PrUIn structure.

```
PrUIn
1.0
0.000 3.720 3.720
3.720 0.000 3.720
3.720 3.720 0.000
In Pr U
1 1 1
direct
0.000 0.000 0.000 In
0.250 0.250 0.250 Pr
0.750 0.750 0.750 U
```

Values from the calculation:
**Polymorph energy (0 for the lowest one)**: 0 meV/atom
**Symmetry**: F-43m (216)

The following is a DFT calculation (PBE) of a geometry-optimized Pr3In2W3 structure.

```
Pr3In2W3
1.0
2.757 1.592 7.349
-2.757 1.592 7.349
0.000 -3.183 7.349
In Pr W
2 3 3
direct
0.224 0.224 0.224 In
0.776 0.776 0.776 In
0.080 0.080 0.080 Pr
0.500 0.500 0.500 Pr
0.920 0.920 0.920 Pr
0.500 0.500 0.000 W
0.500 0.000 0.500 W
0.000 0.500 0.500 W
```

Values from the calculation:
**Symmetry**: R-3m (166)

The following is a DFT calculation (PBE) of a geometry-optimized PrZrIn structure.

```
PrZrIn
1.0
0.000 3.688 3.688
3.688 0.000 3.688
3.688 3.688 0.000
In Pr Zr
1 1 1
direct
0.250 0.250 0.250 In
0.000 0.000 0.000 Pr
0.750 0.750 0.750 Zr
```

Values from the calculation:
**Polymorph energy (0 for the lowest one)**: 537 meV/atom
**Symmetry**: F-43m (216)

The following is a DFT calculation (PBE) of a geometry-optimized PrZrIn structure.

```
PrZrIn
1.0
2.416 2.580 3.652
-2.543 3.351 2.851
-0.949 -1.023 4.886
In Pr Zr
1 1 1
direct
0.000 0.000 0.000 In
0.250 0.250 0.250 Pr
0.750 0.750 0.750 Zr
```

Values from the calculation:
**Polymorph energy (0 for the lowest one)**: 0 meV/atom
**Symmetry**: F-43m (216)

The following is a DFT calculation (PBE) of a geometry-optimized In4Pt structure.

```
In4Pt
1.0
-4.256 4.256 3.464
4.256 -4.256 3.464
4.256 4.256 -3.464
In Pt
8 2
direct
0.535 0.346 0.189 In
0.654 0.843 0.189 In
0.096 0.407 0.311 In
0.215 0.904 0.311 In
0.096 0.785 0.689 In
0.593 0.904 0.689 In
0.157 0.346 0.811 In
0.654 0.465 0.811 In
0.000 0.000 0.000 Pt
0.750 0.250 0.500 Pt
```

Values from the calculation:
**Symmetry**: I4_1/amd (141)

The following is a DFT calculation (PBE) of a geometry-optimized InPt9 structure.

```
InPt9
1.0
2.845 0.000 0.000
0.000 2.845 0.000
0.000 0.000 51.350
In Pt
2 18
direct
0.000 0.500 0.139 In
0.500 0.000 0.861 In
0.500 0.000 0.180 Pt
0.000 0.500 0.219 Pt
0.500 0.000 0.257 Pt
0.000 0.500 0.294 Pt
0.500 0.000 0.332 Pt
0.000 0.500 0.369 Pt
0.500 0.000 0.407 Pt
0.000 0.500 0.444 Pt
0.500 0.000 0.481 Pt
0.000 0.500 0.519 Pt
0.500 0.000 0.556 Pt
0.000 0.500 0.593 Pt
0.500 0.000 0.631 Pt
0.000 0.500 0.668 Pt
0.500 0.000 0.706 Pt
0.000 0.500 0.743 Pt
0.500 0.000 0.781 Pt
0.000 0.500 0.820 Pt
```

Values from the calculation:
**Polymorph energy (0 for the lowest one)**: 32 meV/atom
**Symmetry**: P4/nmm (129)

The following is a DFT calculation (PBE) of a geometry-optimized In3Pt2 structure.

```
In3Pt2
1.0
-0.293 4.102 -2.072
-3.808 -2.072 1.555
0.636 2.545 4.947
In Pt
3 2
direct
0.333 0.667 0.151 In
0.000 0.000 0.500 In
0.667 0.333 0.849 In
0.667 0.333 0.336 Pt
0.333 0.667 0.664 Pt
```

Values from the calculation:
**Symmetry**: P-3m1 (164)

The following is a DFT calculation (PBE) of a geometry-optimized In6Pt structure.

```
In6Pt
1.0
-1.114 5.794 -0.509
-4.456 -3.898 -0.157
-0.560 0.406 5.842
In Pt
6 1
direct
0.627 0.000 0.266 In
0.373 0.373 0.266 In
0.000 0.627 0.266 In
0.373 0.000 0.734 In
0.000 0.373 0.734 In
0.627 0.627 0.734 In
0.000 0.000 0.000 Pt
```

Values from the calculation:
**Symmetry**: P-31m (162)

The following is a DFT calculation (PBE) of a geometry-optimized InPt9 structure.

```
InPt9
1.0
2.824 0.000 0.000
0.000 3.949 0.000
0.000 0.000 41.693
In Pt
2 18
direct
0.000 0.000 0.178 In
0.500 0.500 0.822 In
0.500 0.500 0.212 Pt
0.000 0.000 0.248 Pt
0.500 0.500 0.281 Pt
0.000 0.000 0.316 Pt
0.500 0.500 0.349 Pt
0.000 0.000 0.383 Pt
0.500 0.500 0.416 Pt
0.000 0.000 0.450 Pt
0.500 0.500 0.483 Pt
0.000 0.000 0.517 Pt
0.500 0.500 0.550 Pt
0.000 0.000 0.584 Pt
0.500 0.500 0.617 Pt
0.000 0.000 0.651 Pt
0.500 0.500 0.684 Pt
0.000 0.000 0.719 Pt
0.500 0.500 0.752 Pt
0.000 0.000 0.788 Pt
```

Values from the calculation:
**Polymorph energy (0 for the lowest one)**: 0 meV/atom
**Symmetry**: Pmmn (59)

The following is a DFT calculation (PBE) of a geometry-optimized In2Pt structure.

```
In2Pt
1.0
3.219 -3.219 0.000
-3.219 0.000 -3.219
3.219 3.219 0.000
In Pt
2 1
direct
0.750 0.500 0.250 In
0.250 0.500 0.750 In
0.000 0.000 0.000 Pt
```

Values from the calculation:
**Symmetry**: Fm-3m (225)

The following is a DFT calculation (PBE) of a geometry-optimized InPt15 structure.

```
InPt15
1.0
-4.546 -1.147 -1.127
-1.311 -3.977 2.393
-12.088 20.667 27.717
In Pt
2 30
direct
0.000 0.750 0.205 In
0.000 0.250 0.795 In
0.500 0.250 0.212 Pt
0.000 0.250 0.246 Pt
0.500 0.750 0.246 Pt
0.000 0.750 0.287 Pt
0.500 0.250 0.287 Pt
0.500 0.750 0.326 Pt
0.000 0.250 0.326 Pt
0.500 0.250 0.365 Pt
0.000 0.750 0.365 Pt
0.000 0.250 0.403 Pt
0.500 0.750 0.403 Pt
0.500 0.250 0.442 Pt
0.000 0.750 0.442 Pt
0.000 0.250 0.481 Pt
0.500 0.750 0.481 Pt
0.500 0.250 0.519 Pt
0.000 0.750 0.519 Pt
0.000 0.250 0.558 Pt
0.500 0.750 0.558 Pt
0.500 0.250 0.597 Pt
0.000 0.750 0.597 Pt
0.000 0.250 0.635 Pt
0.500 0.750 0.635 Pt
0.000 0.750 0.674 Pt
0.500 0.250 0.674 Pt
0.500 0.750 0.713 Pt
0.000 0.250 0.713 Pt
0.500 0.250 0.754 Pt
0.000 0.750 0.754 Pt
0.500 0.750 0.788 Pt
```

Values from the calculation:
**Polymorph energy (0 for the lowest one)**: 39 meV/atom
**Symmetry**: P2/c (13)

The following is a DFT calculation (PBE) of a geometry-optimized InPt15 structure.

```
InPt15
1.0
2.823 0.000 0.000
0.000 5.561 0.000
0.002 0.004 45.154
In Pt
2 30
direct
0.750 0.375 0.335 In
0.250 0.625 0.665 In
0.250 0.125 0.022 Pt
0.250 0.625 0.022 Pt
0.750 0.875 0.066 Pt
0.750 0.375 0.066 Pt
0.250 0.125 0.110 Pt
0.250 0.625 0.110 Pt
0.750 0.875 0.154 Pt
0.750 0.375 0.154 Pt
0.250 0.126 0.198 Pt
0.250 0.624 0.198 Pt
0.750 0.875 0.242 Pt
0.750 0.375 0.243 Pt
0.250 0.127 0.287 Pt
0.250 0.623 0.287 Pt
0.750 0.875 0.330 Pt
0.250 0.125 0.670 Pt
0.750 0.377 0.713 Pt
0.750 0.873 0.713 Pt
0.250 0.625 0.757 Pt
0.250 0.125 0.758 Pt
0.750 0.376 0.802 Pt
0.750 0.874 0.802 Pt
0.250 0.625 0.846 Pt
0.250 0.125 0.846 Pt
0.750 0.375 0.890 Pt
0.750 0.875 0.890 Pt
0.250 0.625 0.934 Pt
0.250 0.125 0.934 Pt
0.750 0.375 0.978 Pt
0.750 0.875 0.978 Pt
```

Values from the calculation:
**Polymorph energy (0 for the lowest one)**: 31 meV/atom
**Symmetry**: P2_1/m (11)

The following is a DFT calculation (PBE) of a geometry-optimized InPt3 structure.

```
InPt3
1.0
-0.478 -0.401 4.000
-2.508 -3.119 -0.612
3.143 -2.551 0.120
In Pt
1 3
direct
0.500 0.500 0.000 In
0.000 0.000 0.000 Pt
0.500 0.000 0.500 Pt
0.000 0.500 0.500 Pt
```

Values from the calculation:
**Symmetry**: Pm-3m (221)

The following is a DFT calculation (PBE) of a geometry-optimized InPt15 structure.

```
InPt15
1.0
3.953 0.000 0.000
0.000 5.551 0.000
0.000 0.007 36.014
In Pt
2 30
direct
0.250 0.875 0.200 In
0.750 0.125 0.800 In
0.250 0.375 0.207 Pt
0.750 0.124 0.242 Pt
0.750 0.626 0.242 Pt
0.250 0.875 0.282 Pt
0.250 0.375 0.285 Pt
0.750 0.123 0.322 Pt
0.750 0.627 0.323 Pt
0.250 0.875 0.362 Pt
0.250 0.375 0.363 Pt
0.750 0.625 0.402 Pt
0.750 0.125 0.402 Pt
0.250 0.875 0.441 Pt
0.250 0.375 0.441 Pt
0.750 0.625 0.480 Pt
0.750 0.125 0.481 Pt
0.250 0.875 0.519 Pt
0.250 0.375 0.520 Pt
0.750 0.625 0.559 Pt
0.750 0.125 0.559 Pt
0.250 0.875 0.598 Pt
0.250 0.375 0.598 Pt
0.750 0.625 0.637 Pt
0.750 0.125 0.638 Pt
0.250 0.373 0.677 Pt
0.250 0.877 0.678 Pt
0.750 0.625 0.715 Pt
0.750 0.125 0.718 Pt
0.250 0.374 0.758 Pt
0.250 0.876 0.758 Pt
0.750 0.625 0.793 Pt
```

Values from the calculation:
**Polymorph energy (0 for the lowest one)**: 36 meV/atom
**Symmetry**: P2_1/m (11)

The following is a DFT calculation (PBE) of a geometry-optimized InPt2 structure.

```
InPt2
1.0
0.000 3.812 3.812
3.812 0.000 3.812
3.812 3.812 0.000
In Pt
2 4
direct
0.000 0.000 0.000 In
0.250 0.250 0.250 In
0.625 0.625 0.125 Pt
0.625 0.125 0.625 Pt
0.125 0.625 0.625 Pt
0.625 0.625 0.625 Pt
```

Values from the calculation:
**Symmetry**: Fd-3m (227)

The following is a DFT calculation (PBE) of a geometry-optimized InPt15 structure.

```
InPt15
1.0
7.930 0.000 0.000
0.000 2.793 0.000
-0.033 0.000 36.344
In Pt
2 30
direct
0.875 0.250 0.203 In
0.125 0.750 0.797 In
0.375 0.250 0.215 Pt
0.633 0.750 0.245 Pt
0.117 0.750 0.245 Pt
0.875 0.250 0.285 Pt
0.375 0.250 0.289 Pt
0.631 0.750 0.325 Pt
0.119 0.750 0.325 Pt
0.375 0.250 0.364 Pt
0.874 0.250 0.365 Pt
0.627 0.750 0.403 Pt
0.123 0.750 0.403 Pt
0.376 0.250 0.441 Pt
0.874 0.250 0.443 Pt
0.126 0.750 0.480 Pt
0.624 0.750 0.481 Pt
0.376 0.250 0.519 Pt
0.874 0.250 0.520 Pt
0.126 0.750 0.557 Pt
0.624 0.750 0.559 Pt
0.877 0.250 0.597 Pt
0.373 0.250 0.597 Pt
0.126 0.750 0.635 Pt
0.625 0.750 0.636 Pt
0.881 0.250 0.675 Pt
0.369 0.250 0.675 Pt
0.625 0.750 0.711 Pt
0.125 0.750 0.715 Pt
0.883 0.250 0.755 Pt
0.367 0.250 0.755 Pt
0.625 0.750 0.785 Pt
```

Values from the calculation:
**Polymorph energy (0 for the lowest one)**: 66 meV/atom
**Symmetry**: P2_1/m (11)

Number 1: raw total energy -10.0 eV/cell. Number 2: raw total energy -19.7 eV/cell. Number 3: raw total energy -16.6 eV/cell. Number 4: raw total energy -17.0 eV/cell. Number 5: raw total energy -57.8 eV/cell. Number 6: raw total energy -13.9 eV/cell. Number 7: raw total energy -15.5 eV/cell. Number 8: raw total energy -36.0 eV/cell. Number 9: raw total energy -114.2 eV/cell. Number 10: raw total energy -22.7 eV/cell. Number 11: raw total energy -23.0 eV/cell. Number 12: raw total energy -114.9 eV/cell. Number 13: raw total energy -13.0 eV/cell. Number 14: raw total energy -186.3 eV/cell. Number 15: raw total energy -186.6 eV/cell. Number 16: raw total energy -22.4 eV/cell. Number 17: raw total energy -186.4 eV/cell. Number 18: raw total energy -30.9 eV/cell. Number 19: raw total energy -185.4 eV/cell.